# 1
Here is a relaxed Al2OsC2 crystal from Alexandria. Energies are from GGA-PBE.

CIF file:
```
data_Al2OsC2
_chemical_formula_sum 'Al4 Os2 C4'
_cell_length_a 3.7112
_cell_length_b 3.7112
_cell_length_c 7.9794
_cell_angle_alpha 90.00
_cell_angle_beta 90.00
_cell_angle_gamma 90.00
_space_group_name_H-M_alt 'I 4/m m m'
_space_group_IT_number 139
_space_group_name_Hall '-I 4 2'
loop_
_atom_site_label
_atom_site_type_symbol
_atom_site_fract_x
_atom_site_fract_y
_atom_site_fract_z
Al1 Al 0.0000 0.5000 0.2500
Os1 Os 0.0000 0.0000 0.0000
C1 C 0.0000 0.0000 0.4110
```

Summary:
VASP energy, eV per atom: -6.393
Magnetic moment, μB per atom: 0.000
Energy relative to the elements, meV/atom: 1039
D(E_F), states/eV/cell: 4.46


# 2
Here is a relaxed MnSbS3 crystal from Alexandria. Energies are from GGA-PBE.

CIF file:
```
data_MnSbS3
_chemical_formula_sum 'Mn1 Sb1 S3'
_cell_length_a 4.9557
_cell_length_b 4.9557
_cell_length_c 4.9557
_cell_angle_alpha 90.00
_cell_angle_beta 90.00
_cell_angle_gamma 90.00
_space_group_name_H-M_alt 'P m -3 m'
_space_group_IT_number 221
_space_group_name_Hall '-P 4 2 3'
loop_
_atom_site_label
_atom_site_type_symbol
_atom_site_fract_x
_atom_site_fract_y
_atom_site_fract_z
Mn1 Mn 0.0000 0.0000 0.0000
Sb1 Sb 0.5000 0.5000 0.5000
S1 S 0.0000 0.5000 0.5000
```

Summary:
Formation energy from raw total energies, eV per atom: 0.53
VASP energy, eV per atom: -4.609
Magnetic moment, μB per atom: 1.008
D(E_F), states/eV/cell: 2.46


# 3
Here is a relaxed IrPtBr crystal from Alexandria. Energies are from GGA-PBE.

CIF file:
```
data_IrPtBr
_chemical_formula_sum 'Ir4 Pt4 Br4'
_cell_length_a 6.2406
_cell_length_b 6.2406
_cell_length_c 6.2406
_cell_angle_alpha 90.00
_cell_angle_beta 90.00
_cell_angle_gamma 90.00
_space_group_name_H-M_alt 'F -4 3 m'
_space_group_IT_number 216
_space_group_name_Hall 'F -4 2 3'
loop_
_atom_site_label
_atom_site_type_symbol
_atom_site_fract_x
_atom_site_fract_y
_atom_site_fract_z
Ir1 Ir 0.0000 0.0000 0.0000
Pt1 Pt 0.2500 0.2500 0.7500
Br1 Br 0.2500 0.2500 0.2500
```

Summary:
Formation energy from raw total energies, eV per atom: 0.97
VASP energy, eV per atom: -4.554
Magnetic moment, μB per atom: 0.591
D(E_F), states/eV/cell: 15.10


# 4
Here is a relaxed SnH4Pd7 crystal from Alexandria. Energies are from GGA-PBE.

CIF file:
```
data_SnH4Pd7
_chemical_formula_sum 'Sn2 H8 Pd14'
_cell_length_a 10.1735
_cell_length_b 5.4399
_cell_length_c 7.5122
_cell_angle_alpha 90.00
_cell_angle_beta 131.23
_cell_angle_gamma 90.00
_space_group_name_H-M_alt 'C 1 2/m 1'
_space_group_IT_number 12
_space_group_name_Hall '-C 2y'
loop_
_atom_site_label
_atom_site_type_symbol
_atom_site_fract_x
_atom_site_fract_y
_atom_site_fract_z
Sn1 Sn 0.0000 0.0000 0.0000
H1 H 0.0829 0.5000 0.4951
H2 H 0.2225 0.5000 0.2529
Pd1 Pd 0.0000 0.5000 0.0000
Pd2 Pd 0.1098 0.0000 0.7459
Pd3 Pd 0.1376 0.5000 0.7725
Pd4 Pd 0.2373 0.0000 0.4818
```

Summary:
VASP energy, eV per atom: -4.503
Magnetic moment, μB per atom: 0.000
D(E_F), states/eV/cell: 8.51


# 5
Here is a relaxed Al3Ga3Ag2 crystal from Alexandria. Energies are from GGA-PBE.

CIF file:
```
data_Al3Ga3Ag2
_chemical_formula_sum 'Al6 Ga6 Ag4'
_cell_length_a 11.5191
_cell_length_b 5.1530
_cell_length_c 5.1728
_cell_angle_alpha 90.00
_cell_angle_beta 110.42
_cell_angle_gamma 90.00
_space_group_name_H-M_alt 'C 1 2/m 1'
_space_group_IT_number 12
_space_group_name_Hall '-C 2y'
loop_
_atom_site_label
_atom_site_type_symbol
_atom_site_fract_x
_atom_site_fract_y
_atom_site_fract_z
Al1 Al 0.0000 0.0000 0.0000
Al2 Al 0.1247 0.0000 0.6038
Ga1 Ga 0.0000 0.5000 0.5000
Ga2 Ga 0.1230 0.5000 0.1469
Ag1 Ag 0.2460 0.0000 0.2160
```

Summary:
VASP energy, eV per atom: -3.197
Magnetic moment, μB per atom: 0.000
Energy relative to the elements, meV/atom: 54
D(E_F), states/eV/cell: 3.54


# 6
Here is a relaxed Li4NdTh crystal from Alexandria. Energies are from GGA-PBE.

CIF file:
```
data_Li4NdTh
_chemical_formula_sum 'Li16 Nd4 Th4'
_cell_length_a 8.3259
_cell_length_b 8.3259
_cell_length_c 8.3259
_cell_angle_alpha 90.00
_cell_angle_beta 90.00
_cell_angle_gamma 90.00
_space_group_name_H-M_alt 'F -4 3 m'
_space_group_IT_number 216
_space_group_name_Hall 'F -4 2 3'
loop_
_atom_site_label
_atom_site_type_symbol
_atom_site_fract_x
_atom_site_fract_y
_atom_site_fract_z
Li1 Li 0.1250 0.1250 0.1250
Nd1 Nd 0.0000 0.0000 0.5000
Th1 Th 0.2500 0.2500 0.7500
```

Summary:
VASP energy, eV per atom: -3.108
Magnetic moment, μB per atom: 0.092
Energy relative to the elements, meV/atom: 199
D(E_F), states/eV/cell: 31.05


# 7
Here is a relaxed CsRhS2Cl crystal from Alexandria. Energies are from GGA-PBE.

CIF file:
```
data_CsRhS2Cl
_chemical_formula_sum 'Cs1 Rh1 S2 Cl1'
_cell_length_a 5.4594
_cell_length_b 5.4594
_cell_length_c 6.1793
_cell_angle_alpha 90.00
_cell_angle_beta 90.00
_cell_angle_gamma 90.00
_space_group_name_H-M_alt 'P 4/m m m'
_space_group_IT_number 123
_space_group_name_Hall '-P 4 2'
loop_
_atom_site_label
_atom_site_type_symbol
_atom_site_fract_x
_atom_site_fract_y
_atom_site_fract_z
Cs1 Cs 0.0000 0.0000 0.0000
Rh1 Rh 0.5000 0.5000 0.5000
S1 S 0.0000 0.5000 0.0000
Cl1 Cl 0.0000 0.0000 0.5000
```

Summary:
Formation energy from raw total energies, eV per atom: 1.39
VASP energy, eV per atom: -2.269
Magnetic moment, μB per atom: 0.603
D(E_F), states/eV/cell: 8.02


# 8
Here is a relaxed ZnBi2Os2 crystal from Alexandria. Energies are from GGA-PBE.

CIF file:
```
data_ZnBi2Os2
_chemical_formula_sum 'Zn2 Bi4 Os4'
_cell_length_a 3.8029
_cell_length_b 3.8029
_cell_length_c 16.7730
_cell_angle_alpha 90.00
_cell_angle_beta 90.00
_cell_angle_gamma 90.00
_space_group_name_H-M_alt 'I 4/m m m'
_space_group_IT_number 139
_space_group_name_Hall '-I 4 2'
loop_
_atom_site_label
_atom_site_type_symbol
_atom_site_fract_x
_atom_site_fract_y
_atom_site_fract_z
Zn1 Zn 0.0000 0.0000 0.0000
Bi1 Bi 0.0000 0.0000 0.3747
Os1 Os 0.0000 0.5000 0.2500
```

Summary:
VASP energy, eV per atom: -5.616
Magnetic moment, μB per atom: 0.000
Energy relative to the elements, meV/atom: 683
D(E_F), states/eV/cell: 9.99


# 9
Here is a relaxed Ag2GeBPd crystal from Alexandria. Energies are from GGA-PBE.

CIF file:
```
data_Ag2GeBPd
_chemical_formula_sum 'Ag2 Ge1 B1 Pd1'
_cell_length_a 4.4336
_cell_length_b 4.4336
_cell_length_c 4.0565
_cell_angle_alpha 90.00
_cell_angle_beta 90.00
_cell_angle_gamma 90.00
_space_group_name_H-M_alt 'P 4/m m m'
_space_group_IT_number 123
_space_group_name_Hall '-P 4 2'
loop_
_atom_site_label
_atom_site_type_symbol
_atom_site_fract_x
_atom_site_fract_y
_atom_site_fract_z
Ag1 Ag 0.0000 0.5000 0.0000
Ge1 Ge 0.0000 0.0000 0.5000
B1 B 0.0000 0.0000 0.0000
Pd1 Pd 0.5000 0.5000 0.5000
```

Summary:
VASP energy, eV per atom: -3.977
Magnetic moment, μB per atom: 0.000
Energy relative to the elements, meV/atom: 461
D(E_F), states/eV/cell: 1.74


# 10
Here is a relaxed CrN2 crystal from Alexandria. Energies are from GGA-PBE.

CIF file:
```
data_CrN2
_chemical_formula_sum 'Cr3 N6'
_cell_length_a 5.4610
_cell_length_b 5.4610
_cell_length_c 6.0257
_cell_angle_alpha 90.00
_cell_angle_beta 90.00
_cell_angle_gamma 120.00
_space_group_name_H-M_alt 'P 32 2 1'
_space_group_IT_number 154
_space_group_name_Hall 'P 32 2"'
loop_
_atom_site_label
_atom_site_type_symbol
_atom_site_fract_x
_atom_site_fract_y
_atom_site_fract_z
Cr1 Cr 0.0000 0.4992 0.3333
N1 N 0.2129 0.7844 0.5010
```

Summary:
Formation energy from raw total energies, eV per atom: 0.14
VASP energy, eV per atom: -8.622
Magnetic moment, μB per atom: 0.000
D(E_F), states/eV/cell: 2.64


# 11
Here is a relaxed K2Tl5Pb12 crystal from Alexandria. Energies are from GGA-PBE.

CIF file:
```
data_K2Tl5Pb12
_chemical_formula_sum 'K6 Tl15 Pb36'
_cell_length_a 11.5248
_cell_length_b 11.5248
_cell_length_c 16.9512
_cell_angle_alpha 90.00
_cell_angle_beta 90.00
_cell_angle_gamma 120.00
_space_group_name_H-M_alt 'R -3 m'
_space_group_IT_number 166
_space_group_name_Hall '-R 3 2"'
loop_
_atom_site_label
_atom_site_type_symbol
_atom_site_fract_x
_atom_site_fract_y
_atom_site_fract_z
K1 K 0.0000 0.0000 0.1602
Tl1 Tl 0.0000 0.0000 0.3976
Tl2 Tl 0.0000 0.5000 0.0000
Pb1 Pb 0.0000 0.2939 0.5000
Pb2 Pb 0.0098 0.5049 0.6486
```

Summary:
VASP energy, eV per atom: -3.112
Magnetic moment, μB per atom: 0.000
Energy relative to the elements, meV/atom: -32
D(E_F), states/eV/cell: 25.87


# 12
Here is a relaxed V2FeI crystal from Alexandria. Energies are from GGA-PBE.

CIF file:
```
data_V2FeI
_chemical_formula_sum 'V8 Fe4 I4'
_cell_length_a 5.6062
_cell_length_b 5.6062
_cell_length_c 11.4421
_cell_angle_alpha 90.00
_cell_angle_beta 90.00
_cell_angle_gamma 90.00
_space_group_name_H-M_alt 'I -4 2 d'
_space_group_IT_number 122
_space_group_name_Hall 'I -4 2bw'
loop_
_atom_site_label
_atom_site_type_symbol
_atom_site_fract_x
_atom_site_fract_y
_atom_site_fract_z
V1 V 0.1674 0.2500 0.1250
Fe1 Fe 0.0000 0.0000 0.0000
I1 I 0.0000 0.0000 0.5000
```

Summary:
Formation energy from raw total energies, eV per atom: 0.91
VASP energy, eV per atom: -6.155
Magnetic moment, μB per atom: 0.773
D(E_F), states/eV/cell: 13.67


# 13
Here is a relaxed Pm5Ho2Tl crystal from Alexandria. Energies are from GGA-PBE.

CIF file:
```
data_Pm5Ho2Tl
_chemical_formula_sum 'Pm10 Ho4 Tl2'
_cell_length_a 13.4978
_cell_length_b 11.3069
_cell_length_c 3.4843
_cell_angle_alpha 90.00
_cell_angle_beta 104.87
_cell_angle_gamma 90.00
_space_group_name_H-M_alt 'C 1 2/m 1'
_space_group_IT_number 12
_space_group_name_Hall '-C 2y'
loop_
_atom_site_label
_atom_site_type_symbol
_atom_site_fract_x
_atom_site_fract_y
_atom_site_fract_z
Pm1 Pm 0.0000 0.0000 0.0000
Pm2 Pm 0.1313 0.2338 0.6310
Ho1 Ho 0.2307 0.5000 0.7316
Tl1 Tl 0.0000 0.5000 0.0000
```

Summary:
VASP energy, eV per atom: -4.414
Magnetic moment, μB per atom: 0.000
Energy relative to the elements, meV/atom: -5
D(E_F), states/eV/cell: 22.06